Crystalline Li6InPb at its relaxed geometry. Source: Alexandria via LeMat-Bulk, functional PBE.

Properties
Volume in Å³ per cell: 305
ΔH_f (0 K) in eV/atom: -0.238
Magnetization in μB per cell: 0.00

Cell lengths 4.850, 6.034, 10.417 Å; angles 90.00, 90.00, 90.00 degrees
Space group Amm2 (No. 38)
Asymmetric unit:
Li 0.000 0.000 0.000 (multiplicity 2)
Li 0.000 0.241 0.758 (multiplicity 4)
Li 0.500 0.000 0.341 (multiplicity 2)
Li 0.500 0.243 0.586 (multiplicity 4)
In 0.000 0.000 0.504 (multiplicity 2)
Pb 0.500 0.000 0.838 (multiplicity 2)

Crystalline Y2TaPb at its relaxed geometry. Source: Alexandria via LeMat-Bulk, functional PBE.

Properties
Volume in Å³ per cell: 203
ΔH_f (0 K) in eV/atom: 0.127
Magnetization in μB per cell: 0.00

Cell lengths 4.526, 4.526, 9.893 Å; angles 90.00, 90.00, 90.00 degrees
Space group I-4m2 (No. 119)
Asymmetric unit:
Y 0.000 0.000 0.000 (multiplicity 2)
Y 0.000 0.500 0.250 (multiplicity 2)
Ta 0.000 0.000 0.500 (multiplicity 2)
Pb 0.000 0.500 0.750 (multiplicity 2)

Crystalline MnCdTe2 at its relaxed geometry. Source: Alexandria via LeMat-Bulk, functional PBE.

Properties
Volume in Å³ per cell: 115
Raw total energy in eV per atom: -4.07
Magnetization in μB per cell: 4.28

Cell lengths 4.372, 3.855, 6.900 Å; angles 90.00, 97.21, 90.00 degrees
Space group P2/m (No. 10)
Asymmetric unit:
Mn 0.000 0.000 0.000 (multiplicity 1)
Cd 0.000 0.000 0.500 (multiplicity 1)
Te 0.295 0.500 0.234 (multiplicity 2)

Crystalline ThPaSnSb at its relaxed geometry. Source: Alexandria via LeMat-Bulk, functional PBE.

Properties
Volume in Å³ per cell: 440
Raw total energy in eV per atom: -6.66
Magnetization in μB per cell: 4.52

Cell lengths 7.608, 7.608, 7.608 Å; angles 90.00, 90.00, 90.00 degrees
Space group F-43m (No. 216)
Asymmetric unit:
Th 0.000 0.000 0.000 (multiplicity 4)
Pa 0.000 0.000 0.500 (multiplicity 4)
Sn 0.250 0.250 0.250 (multiplicity 4)
Sb 0.250 0.250 0.750 (multiplicity 4)

Crystalline Zr4FeAg at its relaxed geometry. Source: Alexandria via LeMat-Bulk, functional PBE.

Properties
Volume in Å³ per cell: 515
ΔH_f (0 K) in eV/atom: 0.591
Magnetization in μB per cell: 10.66

Cell lengths 8.016, 8.016, 8.016 Å; angles 90.00, 90.00, 90.00 degrees
Space group F-43m (No. 216)
Asymmetric unit:
Zr 0.124 0.124 0.376 (multiplicity 16)
Fe 0.250 0.250 0.750 (multiplicity 4)
Ag 0.000 0.000 0.000 (multiplicity 4)

Crystalline PrDy3Tl4Se8 at its relaxed geometry. Source: Alexandria via LeMat-Bulk, functional PBE.

Properties
Volume in Å³ per cell: 1445
Raw total energy in eV per atom: -4.88
Magnetization in μB per cell: 0.00

Cell lengths 8.4603, 8.4603, 23.3051 Å; angles 90.00, 90.00, 120.00 degrees
Space group R-3m (No. 166, hexagonal axes)
Asymmetric unit:
Pr 0.0000 0.0000 0.0000 (multiplicity 3)
Dy 0.0000 0.5000 0.0000 (multiplicity 9)
Tl 0.0000 0.0000 0.5000 (multiplicity 3)
Tl 0.0000 0.5000 0.5000 (multiplicity 9)
Se 0.0000 0.0000 0.2656 (multiplicity 6)
Se 0.0090 0.5045 0.2643 (multiplicity 18)